# PBE-GGA AcLa2Tm, optimized geometry
# Polymorph energy (0 for the lowest one): 0.019 eV per atom
# Formation energy from the elements: 41 meV per atom
data_AcLa2Tm
_chemical_formula_sum 'Ac2 La4 Tm2'
_cell_length_a 5.2892
_cell_length_b 5.2860
_cell_length_c 10.5969
_cell_angle_alpha 90.00
_cell_angle_beta 90.00
_cell_angle_gamma 90.00
_space_group_name_H-M_alt 'P 1'
_space_group_IT_number 1
loop_
_space_group_symop_operation_xyz
'x,y,z'
loop_
_atom_site_label
_atom_site_fract_x
_atom_site_fract_y
_atom_site_fract_z
_atom_site_occupancy
Ac1 0.7990 0.7333 0.6419 1
Ac2 0.2990 0.2333 0.1422 1
La1 0.2990 0.7330 0.8918 1
La2 0.2990 0.7334 0.3921 1
La3 0.7990 0.2335 0.3919 1
La4 0.7990 0.2330 0.8923 1
Tm1 0.7990 0.7336 0.1421 1
Tm2 0.2990 0.2336 0.6420 1

---

# PBE-GGA Ac5La6Tm, optimized geometry
# Formation energy from the elements: 31 meV per atom
data_Ac5La6Tm
_chemical_formula_sum 'Ac5 La6 Tm1'
_cell_length_a 5.4405
_cell_length_b 10.1069
_cell_length_c 10.1069
_cell_angle_alpha 106.72
_cell_angle_beta 105.66
_cell_angle_gamma 105.66
_space_group_name_H-M_alt 'P 1'
_space_group_IT_number 1
loop_
_space_group_symop_operation_xyz
'x,y,z'
loop_
_atom_site_label
_atom_site_fract_x
_atom_site_fract_y
_atom_site_fract_z
_atom_site_occupancy
Ac1 0.5000 0.1623 0.8377 1
Ac2 0.0000 0.3329 0.6671 1
Ac3 0.5000 0.5000 0.5000 1
Ac4 0.0000 0.6671 0.3329 1
Ac5 0.5000 0.8377 0.1623 1
Tm1 0.0000 0.0000 0.0000 1
La1 0.2464 0.0819 0.4110 1
La2 0.7536 0.5890 0.9181 1
La3 0.7458 0.2457 0.2457 1
La4 0.2542 0.7543 0.7543 1
La5 0.2464 0.4110 0.0819 1
La6 0.7536 0.9181 0.5890 1

---

# PBE-GGA Ac8La5Tm, optimized geometry
# Formation energy from the elements: 233 meV per atom
data_Ac8La5Tm
_chemical_formula_sum 'Ac8 La5 Tm1'
_cell_length_a 9.1505
_cell_length_b 9.1505
_cell_length_c 9.1505
_cell_angle_alpha 110.49
_cell_angle_beta 107.45
_cell_angle_gamma 110.49
_space_group_name_H-M_alt 'P 1'
_space_group_IT_number 1
loop_
_space_group_symop_operation_xyz
'x,y,z'
loop_
_atom_site_label
_atom_site_fract_x
_atom_site_fract_y
_atom_site_fract_z
_atom_site_occupancy
Ac1 0.1689 0.7286 0.0649 1
Ac2 0.9351 0.1040 0.6636 1
Ac3 0.7384 0.2621 0.3430 1
Ac4 0.6570 0.3954 0.9191 1
Ac5 0.5237 0.6046 0.2616 1
Ac6 0.5597 0.8960 0.8311 1
Ac7 0.3364 0.2714 0.4403 1
Ac8 0.0809 0.7379 0.4763 1
La1 0.0220 0.3009 0.1250 1
La2 0.8750 0.8970 0.1759 1
La3 0.8241 0.6991 0.7211 1
La4 0.5000 0.0000 0.5000 1
La5 0.2789 0.1030 0.9780 1
Tm1 0.2500 0.5000 0.7500 1

---

# PBE-GGA AcLa2Tm2, optimized geometry
# Formation energy from the elements: 127 meV per atom
data_AcLa2Tm2
_chemical_formula_sum 'Ac2 La4 Tm4'
_cell_length_a 3.7380
_cell_length_b 8.0379
_cell_length_c 12.6193
_cell_angle_alpha 90.00
_cell_angle_beta 90.00
_cell_angle_gamma 103.45
_space_group_name_H-M_alt 'P 1'
_space_group_IT_number 1
loop_
_space_group_symop_operation_xyz
'x,y,z'
loop_
_atom_site_label
_atom_site_fract_x
_atom_site_fract_y
_atom_site_fract_z
_atom_site_occupancy
Ac1 0.6268 0.2536 0.9619 1
Ac2 0.3732 0.7464 0.4619 1
La1 0.9851 0.9702 0.2008 1
La2 0.2978 0.5956 0.7899 1
La3 0.0149 0.0298 0.7008 1
La4 0.7022 0.4044 0.2899 1
Tm1 0.3041 0.6082 0.0884 1
Tm2 0.9334 0.8668 0.9442 1
Tm3 0.6959 0.3918 0.5884 1
Tm4 0.0666 0.1332 0.4442 1

---

# PBE-GGA Ac2La4Tm7, optimized geometry
# Formation energy from the elements: 195 meV per atom
data_Ac2La4Tm7
_chemical_formula_sum 'Ac2 La4 Tm7'
_cell_length_a 6.2133
_cell_length_b 6.2133
_cell_length_c 13.6315
_cell_angle_alpha 90.00
_cell_angle_beta 90.00
_cell_angle_gamma 120.00
_space_group_name_H-M_alt 'P 1'
_space_group_IT_number 1
loop_
_space_group_symop_operation_xyz
'x,y,z'
loop_
_atom_site_label
_atom_site_fract_x
_atom_site_fract_y
_atom_site_fract_z
_atom_site_occupancy
Ac1 0.6667 0.3333 0.0000 1
Ac2 0.3333 0.6667 0.0000 1
La1 0.0000 0.0000 0.6078 1
La2 0.0000 0.0000 0.3922 1
La3 0.6667 0.3333 0.5000 1
La4 0.3333 0.6667 0.5000 1
Tm1 0.0000 0.6503 0.7861 1
Tm2 0.0000 0.3497 0.2139 1
Tm3 0.0000 0.0000 0.0000 1
Tm4 0.6503 0.0000 0.7861 1
Tm5 0.3497 0.0000 0.2139 1
Tm6 0.6503 0.6503 0.2139 1
Tm7 0.3497 0.3497 0.7861 1

---

# PBE-GGA Ac2La4Tm, optimized geometry
# Formation energy from the elements: 29 meV per atom
data_Ac2La4Tm
_chemical_formula_sum 'Ac4 La8 Tm2'
_cell_length_a 7.5398
_cell_length_b 8.4205
_cell_length_c 9.2416
_cell_angle_alpha 110.93
_cell_angle_beta 89.90
_cell_angle_gamma 102.98
_space_group_name_H-M_alt 'P 1'
_space_group_IT_number 1
loop_
_space_group_symop_operation_xyz
'x,y,z'
loop_
_atom_site_label
_atom_site_fract_x
_atom_site_fract_y
_atom_site_fract_z
_atom_site_occupancy
Ac1 0.6969 0.6934 0.1815 1
Ac2 0.6252 0.4107 0.7500 1
Ac3 0.1252 0.4108 0.7500 1
Ac4 0.5529 0.1279 0.3185 1
Tm1 0.4092 0.5570 0.4642 1
Tm2 0.8409 0.2645 0.0358 1
La1 0.9170 0.5554 0.4614 1
La2 0.3331 0.2660 0.0386 1
La3 0.0543 0.1292 0.3229 1
La4 0.2646 0.9727 0.6038 1
La5 0.7663 0.9761 0.6096 1
La6 0.1955 0.6923 0.1771 1
La7 0.9853 0.8487 0.8963 1
La8 0.4837 0.8454 0.8905 1

---

# PBE-GGA AcLa6Tm5, optimized geometry
# Formation energy from the elements: 34 meV per atom
data_AcLa6Tm5
_chemical_formula_sum 'Ac1 La6 Tm5'
_cell_length_a 5.2482
_cell_length_b 10.0731
_cell_length_c 9.7010
_cell_angle_alpha 121.28
_cell_angle_beta 105.74
_cell_angle_gamma 90.00
_space_group_name_H-M_alt 'P 1'
_space_group_IT_number 1
loop_
_space_group_symop_operation_xyz
'x,y,z'
loop_
_atom_site_label
_atom_site_fract_x
_atom_site_fract_y
_atom_site_fract_z
_atom_site_occupancy
Ac1 0.0000 0.0000 0.0000 1
Tm1 0.6679 0.1679 0.3358 1
Tm2 0.3302 0.3301 0.6601 1
Tm3 0.0000 0.5000 0.0000 1
Tm4 0.6698 0.6699 0.3399 1
Tm5 0.3321 0.8321 0.6642 1
La1 0.8328 0.5777 0.6655 1
La2 0.8328 0.0878 0.6655 1
La3 0.5000 0.7401 0.0000 1
La4 0.5000 0.2599 0.0000 1
La5 0.1672 0.9122 0.3345 1
La6 0.1672 0.4223 0.3345 1

---

# PBE-GGA AcLa5Tm2, optimized geometry
# Formation energy from the elements: 26 meV per atom
data_AcLa5Tm2
_chemical_formula_sum 'Ac1 La5 Tm2'
_cell_length_a 3.7010
_cell_length_b 11.4783
_cell_length_c 9.1146
_cell_angle_alpha 129.03
_cell_angle_beta 101.71
_cell_angle_gamma 90.00
_space_group_name_H-M_alt 'P 1'
_space_group_IT_number 1
loop_
_space_group_symop_operation_xyz
'x,y,z'
loop_
_atom_site_label
_atom_site_fract_x
_atom_site_fract_y
_atom_site_fract_z
_atom_site_occupancy
Ac1 0.0000 0.0000 0.0000 1
La1 0.0000 0.5000 0.0000 1
La2 0.6328 0.4065 0.2655 1
La3 0.3672 0.5935 0.7345 1
La4 0.6328 0.8591 0.2655 1
La5 0.3672 0.1409 0.7345 1
Tm1 0.2557 0.7557 0.5114 1
Tm2 0.7443 0.2443 0.4886 1